No. 1
# LaLu2Th

Crystalline LaLu2Th at its relaxed geometry (PBE, Alexandria via LeMat-Bulk).

## Properties
relative energy among the computed polymorphs: 0.000 eV per atom
formation energy from the elements: 0.0 eV per formula unit
total magnetization: 0.000 Bohr magnetons per cell
total energy: -5.34 eV per atom

a = 3.6078 Å, b = 3.6078 Å, c = 9.8087 Å
α = 90.00°, β = 90.00°, γ = 90.00°
With the nearest neighbours (Å) after each atom.
Space group P4/mmm (No. 123)
One atom of each set of equivalent atoms:
1 La 0.0000 0.0000 0.0000 x1  4 La 3.61, 8 Lu 3.61
2 Lu 0.5000 0.5000 0.2607 x2  4 Th 3.47, 4 Lu 3.61, 4 La 3.61
3 Th 0.0000 0.0000 0.5000 x1  8 Lu 3.47, 4 Th 3.61



No. 2
# BaCa2TePt

Crystalline BaCa2TePt at its relaxed geometry (PBE, Alexandria via LeMat-Bulk).

## Properties
total magnetization: 0.000 Bohr magnetons per cell
total energy: -3.29 eV per atom

a = 5.8400 Å, b = 5.8400 Å, c = 5.4466 Å
α = 90.00°, β = 90.00°, γ = 90.00°
With the nearest neighbours (Å) after each atom.
Space group P4/mmm (No. 123)
One atom of each set of equivalent atoms:
1 Ba 0.0000 0.0000 0.0000 x1  8 Ca 3.99, 4 Pt 4.13
2 Ca 0.0000 0.5000 0.5000 x2  2 Te 2.92
3 Te 0.5000 0.5000 0.5000 x1  2 Pt 2.72, 4 Ca 2.92
4 Pt 0.5000 0.5000 0.0000 x1  2 Te 2.72



No. 3
# Sn2GeCBr

Crystalline Sn2GeCBr at its relaxed geometry (PBE, Alexandria via LeMat-Bulk).

## Properties
total magnetization: 0.741 Bohr magnetons per cell
total energy: -2.70 eV per atom

a = 5.5914 Å, b = 5.5914 Å, c = 5.1735 Å
α = 90.00°, β = 90.00°, γ = 90.00°
With the nearest neighbours (Å) after each atom.
Space group P4/mmm (No. 123)
One atom of each set of equivalent atoms:
1 Sn 0.0000 0.5000 0.0000 x2  2 Br 2.80
2 Ge 0.0000 0.0000 0.5000 x1  2 Br 2.59
3 C 0.5000 0.5000 0.5000 x1  8 Sn 3.81, 4 Ge 3.95
4 Br 0.0000 0.0000 0.0000 x1  2 Ge 2.59, 4 Sn 2.80



No. 4
# CdCoOs2

Crystalline CdCoOs2 at its relaxed geometry (PBE, Alexandria via LeMat-Bulk).

## Properties
formation energy from the elements: 1.7 eV per formula unit
total magnetization: 0.001 Bohr magnetons per cell
total energy: -7.20 eV per atom

a = 10.7729 Å, b = 2.7230 Å, c = 4.4370 Å
α = 90.00°, β = 114.20°, γ = 90.00°
With the nearest neighbours (Å) after each atom.
Space group C2/m (No. 12)
One atom of each set of equivalent atoms:
1 Cd 0.0000 0.0000 0.0000 x2  4 Co 2.60, 2 Cd 2.72
2 Co 0.0000 0.5000 0.5000 x2  4 Os 2.50, 4 Cd 2.60, 2 Co 2.72
3 Os 0.2139 0.0000 0.7140 x4  2 Co 2.50, 6 Os 2.70-2.72



No. 5
# La2NiHRh

Crystalline La2NiHRh at its relaxed geometry (PBE, Alexandria via LeMat-Bulk).

## Properties
relative energy among the computed polymorphs: 0.000 eV per atom
total magnetization: 0.006 Bohr magnetons per cell
total energy: -5.76 eV per atom

a = 5.0924 Å, b = 5.0924 Å, c = 3.6016 Å
α = 90.00°, β = 90.00°, γ = 90.00°
With the nearest neighbours (Å) after each atom.
Space group P4/mmm (No. 123)
One atom of each set of equivalent atoms:
1 La 0.0000 0.5000 0.0000 x2  2 H 2.55
2 Ni 0.0000 0.0000 0.5000 x1  2 H 1.80
3 H 0.0000 0.0000 0.0000 x1  2 Ni 1.80
4 Rh 0.5000 0.5000 0.5000 x1  8 La 3.12



No. 6
# U3Ag3PtSe8

Crystalline U3Ag3PtSe8 at its relaxed geometry (PBE, Alexandria via LeMat-Bulk).

## Properties
total magnetization: 14.557 Bohr magnetons per cell
total energy: -5.68 eV per atom

a = 13.8196 Å, b = 7.9965 Å, c = 8.1986 Å
α = 90.00°, β = 124.15°, γ = 90.00°
With the nearest neighbours (Å) after each atom.
Space group C2/m (No. 12)
One atom of each set of equivalent atoms:
1 U 0.0000 0.0000 0.0000 x2  6 Se 2.85-2.86
2 U 0.2500 0.2500 0.0000 x4  6 Se 2.85-2.87
3 Ag 0.0000 0.5000 0.5000 x2  6 Se 2.87
4 Ag 0.2500 0.2500 0.5000 x4  6 Se 2.87
5 Pt 0.0000 0.5000 0.0000 x2  6 Se 2.65-2.72
6 Se 0.9996 0.2623 0.2370 x8  1 Pt 2.72, 2 U 2.86, 2 Ag 2.87
7 Se 0.2316 0.5000 0.2331 x4  1 Pt 2.65, 2 Ag 2.87, 2 U 2.87
8 Se 0.2493 0.0000 0.2479 x4  3 U 2.85, 3 Ag 2.87



No. 7
# CePuP2

Crystalline CePuP2 at its relaxed geometry (PBE, Alexandria via LeMat-Bulk).

## Properties
relative energy among the computed polymorphs: 0.000 eV per atom
formation energy from the elements: -5.3 eV per formula unit
total magnetization: 17.022 Bohr magnetons per cell
total energy: -9.10 eV per atom

a = 4.0536 Å, b = 4.0536 Å, c = 19.7269 Å
α = 90.00°, β = 90.00°, γ = 120.00°
With the nearest neighbours (Å) after each atom.
Space group R-3m (No. 166, hexagonal axes)
One atom of each set of equivalent atoms:
1 Ce 0.0000 0.0000 0.0000 x3  6 P 2.89
2 Pu 0.0000 0.0000 0.5000 x3  6 P 2.83
3 P 0.0000 0.0000 0.2475 x6  3 Pu 2.83, 3 Ce 2.89